# Co2PdPt2 PBE optimized geometry
data_Co2PdPt2
_cell_length_a 7.329
_cell_length_b 7.329
_cell_length_c 2.724
_cell_angle_alpha 90.00
_cell_angle_beta 90.00
_cell_angle_gamma 90.00
_symmetry_space_group_name_H-M 'P 1'
_symmetry_Int_Tables_number 1
_symmetry_space_group_name_Hall 'P 1'
loop_
_atom_site_label
_atom_site_type_symbol
_atom_site_fract_x
_atom_site_fract_y
_atom_site_fract_z
Co1 Co 0.166 0.334 0.000
Co2 Co 0.334 0.834 0.000
Co3 Co 0.666 0.166 0.000
Co4 Co 0.834 0.666 0.000
Pd1 Pd 0.000 0.000 0.500
Pd2 Pd 0.500 0.500 0.500
Pt1 Pt 0.132 0.632 0.500
Pt2 Pt 0.368 0.132 0.500
Pt3 Pt 0.632 0.868 0.500
Pt4 Pt 0.868 0.368 0.500
# space group: P4/mbm (127)
# energy of formation: 0.07 eV per atom
# total magnetic moment: 10.48 μB/cell